Ti3SnSb PBEsol optimized geometry; ΔE_f (raw) = 0.7844 eV/atom; M_tot = 3.48 μB per cell
1.0
-4.2560 1.3302 2.1948
-0.8403 -4.7383 1.2421
2.4250 0.6925 4.2825
Ti Sn Sb
3 1 1
Direct
0.5000 0.0000 0.0000
0.0000 0.5000 0.0000
0.0000 0.0000 0.5000
0.0000 0.0000 0.0000
0.5000 0.5000 0.5000